Record 1
# Ho12MgTl3, optimized geometry, DFT PBE
# final energy	-4.099	eV per atom
# DOS(E_F)	23.0	states/eV per cell
# spin magnetization	0.15	μB/atom
data_Ho12MgTl3
_cell_length_a 4.8411
_cell_length_b 4.8411
_cell_length_c 19.4022
_cell_angle_alpha 90.00
_cell_angle_beta 90.00
_cell_angle_gamma 90.00
_space_group_name_H-M_alt 'P 4/m m m'
_space_group_IT_number 123
_space_group_name_Hall '-P 4 2'
loop_
_atom_site_label
_atom_site_fract_x
_atom_site_fract_y
_atom_site_fract_z
Ho1 0.0000 0.0000 0.0000
Ho2 0.0000 0.0000 0.2493
Ho3 0.0000 0.0000 0.5000
Ho4 0.0000 0.5000 0.1243
Ho5 0.0000 0.5000 0.3741
Mg1 0.5000 0.5000 0.5000
Tl1 0.5000 0.5000 0.0000
Tl2 0.5000 0.5000 0.2486

Record 2
# CeScN2, optimized geometry, DFT PBE
# energy relative to the elements, uncorrected	-5.362	eV/f.u.
# DOS(E_F)	7.9	states/eV per cell
# spin magnetization	0.12	μB/atom
data_CeScN2
_cell_length_a 3.3418
_cell_length_b 3.3418
_cell_length_c 17.4335
_cell_angle_alpha 90.00
_cell_angle_beta 90.00
_cell_angle_gamma 120.00
_space_group_name_H-M_alt 'R 3 m'
_space_group_IT_number 160
_space_group_name_Hall 'R 3 -2"'
loop_
_atom_site_label
_atom_site_fract_x
_atom_site_fract_y
_atom_site_fract_z
Ce1 0.0000 0.0000 0.0000
Sc1 0.0000 0.0000 0.8274
N1 0.0000 0.0000 0.4221
N2 0.0000 0.0000 0.5798